# Zn3Cu2Ag

A relaxed Zn3Cu2Ag crystal (GGA-PBE, Alexandria).

Computed properties:
size of the total moment = 0.0000 μB per atom
formation energy = -0.07 eV/atom
crystal system = tetragonal
SG = No. 123
volume = 84.8 Å³/cell

Unit cell a=2.9217 b=2.9217 c=9.9375 alpha=90.00 beta=90.00 gamma=90.00
Last column: nearest neighbours and their distance in Å.
Atoms (fractional coordinates):
Zn (0.0000, 0.0000, 0.0000)  8 Cu 2.57
Zn (0.0000, 0.0000, 0.6915)  4 Cu 2.58, 4 Ag 2.81
Zn (0.0000, 0.0000, 0.3085)  4 Cu 2.58, 4 Ag 2.81
Cu (0.5000, 0.5000, 0.8467)  8 Zn 2.57-2.58
Cu (0.5000, 0.5000, 0.1533)  8 Zn 2.57-2.58
Ag (0.5000, 0.5000, 0.5000)  8 Zn 2.81, 4 Ag 2.92